# 1
Here is crystalline DySc2Cu2Ge2 at its relaxed geometry from the Alexandria database. Energies are from PBE.

Summary:
**Calculated formation energy**: -0.50 eV/atom

Cell lengths 4.3082, 4.3082, 8.4708 Å; angles 75.27, 75.27, 60.00 degrees
Sites, in units of the cell vectors:
Cu  0.5670  0.5670  0.2990
Sc  0.8651  0.8651  0.4047
Sc  0.1349  0.1349  0.5953
Cu  0.4330  0.4330  0.7010
Ge  0.2596  0.2596  0.2211
Ge  0.7404  0.7404  0.7789
Dy  0.0000  0.0000  0.0000

# 2
Here is crystalline Dy3CuGeSe7 at its relaxed geometry from the Alexandria database. Energies are from PBE.

Summary:
**Formation energy from raw total energies**: -1.27 eV per atom

Cell lengths 10.3108, 10.3108, 6.1626 Å; angles 90.00, 90.00, 120.00 degrees
Sites, in units of the cell vectors:
Se  0.3333  0.6667  0.2188
Dy  0.7816  0.6436  0.9169
Se  0.5736  0.0922  0.1677
Se  0.8419  0.7369  0.4612
Dy  0.3564  0.1380  0.9169
Se  0.1050  0.8419  0.9612
Se  0.4814  0.5736  0.6677
Se  0.1581  0.2631  0.9612
Dy  0.8620  0.2184  0.9169
Dy  0.2184  0.3564  0.4169
Se  0.0922  0.5186  0.6677
Se  0.8950  0.1581  0.4612
Se  0.4264  0.9078  0.6677
Dy  0.1380  0.7816  0.4169
Se  0.6667  0.3333  0.7188
Cu  0.0000  0.0000  0.9812
Se  0.5186  0.4264  0.1677
Se  0.2631  0.1050  0.4612
Cu  0.0000  0.0000  0.4812
Se  0.9078  0.4814  0.1677
Ge  0.3333  0.6667  0.8340
Ge  0.6667  0.3333  0.3340
Se  0.7369  0.8950  0.9612
Dy  0.6436  0.8620  0.4169

# 3
Here is crystalline Dy2Cu4SiGe3 at its relaxed geometry from the Alexandria database. Energies are from PBE.

Summary:
**Formation energy from raw total energies**: -0.48 eV per atom

Cell lengths 4.0801, 4.0801, 10.0701 Å; angles 90.00, 90.00, 90.00 degrees
Sites, in units of the cell vectors:
Ge  0.0000  0.0000  0.5000
Cu  0.0000  0.0000  0.0000
Cu  0.5000  0.0000  0.6301
Ge  0.0000  0.5000  0.1346
Dy  0.0000  0.5000  0.7508
Si  0.5000  0.5000  0.5000
Cu  0.5000  0.5000  0.0000
Cu  0.0000  0.5000  0.3699
Dy  0.5000  0.0000  0.2492
Ge  0.5000  0.0000  0.8654